(1)
A relaxed structure of Ac2Re2O5. Source: OQMD via LeMat-Bulk, functional GGA-PBE.

Cell and atoms, written as POSCAR:
```
Ac2Re2O5
1.0
10.276 0.000 0.000
0.000 3.613 0.000
0.000 0.000 3.613
O Ac Re
5 2 2
Cartesian
1.123 1.807 0.000
9.153 0.000 1.807
5.138 1.807 1.807
9.153 1.807 0.000
1.123 0.000 1.807
7.537 1.807 1.807
2.739 1.807 1.807
5.138 0.000 0.000
0.000 0.000 0.000
```

- Crystal system: tetragonal
- Raw total energy: -7.635 eV/atom
- Volume: 134.2 Å³ per cell

---

(2)
A relaxed structure of TcBrO3. Source: OQMD via LeMat-Bulk, functional GGA-PBE.

Cell and atoms, written as POSCAR:
```
TcBrO3
1.0
-5.229 -2.867 -0.483
2.249 -3.608 -2.925
3.093 -5.111 8.683
O Br Tc
12 4 4
Cartesian
-1.720 -7.312 -0.383
1.187 -3.921 -1.884
-0.792 -8.875 4.763
-1.712 -3.463 0.893
-1.074 -7.666 7.159
-2.223 -5.748 2.301
1.826 -8.124 4.382
0.905 -2.711 0.512
2.336 -5.839 2.974
1.834 -4.275 5.658
-0.060 -6.188 5.097
0.174 -5.399 0.178
0.236 -3.817 3.147
-0.123 -7.769 2.128
-1.933 -4.791 -1.871
2.046 -6.796 7.146
-0.017 -7.782 5.833
0.130 -3.805 -0.558
2.406 -7.531 2.834
-2.293 -4.056 2.441
```

- Crystal system: monoclinic
- Raw total energy: -6.288 eV/atom
- Volume: 324.1 Å³ per cell

---

(3)
A relaxed structure of GdYC2I2. Source: OQMD via LeMat-Bulk, functional GGA-PBE.

Cell and atoms, written as POSCAR:
```
GdYC2I2
1.0
-1.374 3.624 1.545
-4.034 0.919 0.538
0.899 -4.703 10.252
I Y C Gd
2 1 2 1
Cartesian
-3.728 -0.067 10.021
-0.781 -0.099 2.329
-4.280 2.103 5.652
-1.817 -0.553 6.280
-2.700 0.406 6.036
-0.223 -2.271 6.687
```

- Crystal system: monoclinic
- Raw total energy: -6.303 eV/atom
- Volume: 163.2 Å³ per cell

---

(4)
A relaxed structure of PaPtPb. Source: OQMD via LeMat-Bulk, functional GGA-PBE.

Cell and atoms, written as POSCAR:
```
PaPtPb
1.0
2.675 -2.503 -3.075
2.487 -3.789 1.527
-1.330 -4.410 -1.287
Pb Pt Pa
1 1 1
Cartesian
2.873 -8.026 -2.126
0.000 0.000 0.000
0.958 -2.675 -0.709
```

- Crystal system: cubic
- Raw total energy: -6.965 eV/atom
- Volume: 77.4 Å³ per cell